# Al5Cd2Au12 PBE relaxed
# - Uncorrected energy: -64.13 eV/f.u.
# - Spin magnetization: 0.0 μB/f.u.
# - Symmetry: C2/m, No. 12
data_Al5Cd2Au12
_chemical_formula_sum 'Al5 Cd2 Au12'
_space_group_name_H-M_alt 'P 1'
_space_group_IT_number 1
_cell_length_a 7.169
_cell_length_b 7.169
_cell_length_c 8.370
_cell_angle_alpha 99.64
_cell_angle_beta 99.64
_cell_angle_gamma 61.14
loop_
_space_group_symop_operation_xyz
'x,y,z'
loop_
_atom_site_label
_atom_site_type_symbol
_atom_site_fract_x
_atom_site_fract_y
_atom_site_fract_z
Al1 Al 0.000 0.000 0.000
Al2 Al 0.242 0.242 0.077
Al3 Al 0.329 0.329 0.630
Al4 Al 0.671 0.671 0.370
Al5 Al 0.758 0.758 0.923
Cd1 Cd 0.212 0.788 0.500
Cd2 Cd 0.788 0.212 0.500
Au1 Au 0.083 0.468 0.351
Au2 Au 0.117 0.117 0.776
Au3 Au 0.180 0.581 0.931
Au4 Au 0.419 0.820 0.069
Au5 Au 0.464 0.464 0.245
Au6 Au 0.468 0.083 0.351
Au7 Au 0.532 0.917 0.649
Au8 Au 0.536 0.536 0.755
Au9 Au 0.581 0.180 0.931
Au10 Au 0.820 0.419 0.069
Au11 Au 0.883 0.883 0.224
Au12 Au 0.917 0.532 0.649

---

# La4Nd9Cd11 PBE relaxed
# - Uncorrected energy: -78.84 eV/f.u.
# - Spin magnetization: 0.0 μB/f.u.
# - Symmetry: Cmmm, No. 65
data_La4Nd9Cd11
_chemical_formula_sum 'La4 Nd9 Cd11'
_space_group_name_H-M_alt 'P 1'
_space_group_IT_number 1
_cell_length_a 14.457
_cell_length_b 14.457
_cell_length_c 3.606
_cell_angle_alpha 90.00
_cell_angle_beta 90.00
_cell_angle_gamma 111.55
loop_
_space_group_symop_operation_xyz
'x,y,z'
loop_
_atom_site_label
_atom_site_type_symbol
_atom_site_fract_x
_atom_site_fract_y
_atom_site_fract_z
La1 La 0.083 0.250 0.000
La2 La 0.250 0.083 0.000
La3 La 0.750 0.917 0.000
La4 La 0.917 0.750 0.000
Nd1 Nd 0.000 0.000 0.000
Nd2 Nd 0.111 0.657 0.000
Nd3 Nd 0.294 0.487 0.000
Nd4 Nd 0.343 0.889 0.000
Nd5 Nd 0.487 0.294 0.000
Nd6 Nd 0.513 0.706 0.000
Nd7 Nd 0.657 0.111 0.000
Nd8 Nd 0.706 0.513 0.000
Nd9 Nd 0.889 0.343 0.000
Cd1 Cd 0.092 0.459 0.500
Cd2 Cd 0.129 0.871 0.500
Cd3 Cd 0.296 0.296 0.500
Cd4 Cd 0.313 0.687 0.500
Cd5 Cd 0.459 0.092 0.500
Cd6 Cd 0.500 0.500 0.500
Cd7 Cd 0.541 0.908 0.500
Cd8 Cd 0.687 0.313 0.500
Cd9 Cd 0.704 0.704 0.500
Cd10 Cd 0.871 0.129 0.500
Cd11 Cd 0.908 0.541 0.500

---

# ZnHg2Sb2 PBE relaxed
# - Offset from the most stable computed form: 153 meV per atom
# - Uncorrected energy: -8.47 eV/f.u.
# - Formation energy (no corrections): 331 meV per atom
# - Spin magnetization: 0.0 μB/f.u.
# - Symmetry: P4/mbm, No. 127
data_ZnHg2Sb2
_chemical_formula_sum 'Zn2 Hg4 Sb4'
_space_group_name_H-M_alt 'P 1'
_space_group_IT_number 1
_cell_length_a 8.569
_cell_length_b 8.569
_cell_length_c 3.616
_cell_angle_alpha 90.00
_cell_angle_beta 90.00
_cell_angle_gamma 90.00
loop_
_space_group_symop_operation_xyz
'x,y,z'
loop_
_atom_site_label
_atom_site_type_symbol
_atom_site_fract_x
_atom_site_fract_y
_atom_site_fract_z
Zn1 Zn 0.000 0.000 0.000
Zn2 Zn 0.500 0.500 0.000
Hg1 Hg 0.164 0.336 0.000
Hg2 Hg 0.336 0.836 0.000
Hg3 Hg 0.664 0.164 0.000
Hg4 Hg 0.836 0.664 0.000
Sb1 Sb 0.136 0.636 0.500
Sb2 Sb 0.364 0.136 0.500
Sb3 Sb 0.636 0.864 0.500
Sb4 Sb 0.864 0.364 0.500